DFT (PBE) results for crystalline LaNb4 at its relaxed geometry.

Summary:
Total magnetization in μB/f.u.: 0.00
Formation energy in eV per atom: 1.89

Lattice parameters (Å, degrees): 4.865 4.865 4.865 90.00 90.00 90.00
Atoms (fractional coordinates):
La: 0.000 0.000 0.000
Nb: 0.000 0.000 0.500
Nb: 0.000 0.500 0.000
Nb: 0.500 0.000 0.000
Nb: 0.500 0.500 0.500